Here is PmLuPuCd after structural relaxation from Alexandria via LeMat-Bulk. Energies are from PBE.

Cell lengths 5.4130, 5.4130, 5.4130 Å; angles 60.00, 60.00, 60.00 degrees
Last column: magnetic moment on the atom in μB.
Atoms (fractional coordinates):
Cd 0.0000 0.0000 0.0000  -0.02
Lu 0.7500 0.7500 0.7500  0.27
Pm 0.2500 0.2500 0.2500  0.21
Pu 0.5000 0.5000 0.5000  5.66

Properties
electronic total energy	-0.4444	Ry/atom
space group	F-43m (216)
formation energy from the elements	0.084	eV per atom